Below is a geometry-optimized Tb2MnCo3P4 structure, with properties calculated at the GGA-PBE level.

Calculated values
Total DFT energy (no corrections) (eV for the cell shown): -71.17
ΔE_f (eV/atom): -0.978

a = 3.934 Å, b = 3.934 Å, c = 9.078 Å
α = 90.00°, β = 90.00°, γ = 90.00°
Positions (direct):
P 0.500 0.000 0.630
P 0.000 0.500 0.370
P 0.500 0.500 0.000
P 0.000 0.000 0.000
Tb 0.000 0.500 0.759
Tb 0.500 0.000 0.241
Co 0.000 0.500 0.115
Co 0.500 0.000 0.885
Co 0.000 0.000 0.500
Mn 0.500 0.500 0.500

***

Below is a geometry-optimized MnCoTcP2 structure, with properties calculated at the GGA-PBE level.

Calculated values
Total DFT energy (no corrections) (eV for the cell shown): -31.45
ΔE_f (eV/atom): 1.203
Energy above the lowest structure with this stoichiometry (eV per formula unit): 2.103

a = 4.112 Å, b = 4.689 Å, c = 4.112 Å
α = 90.00°, β = 90.00°, γ = 90.00°
Site moments in Bohr magnetons follow the coordinates.
Positions (direct):
P 0.000 0.000 0.500  -0.02
P 0.500 0.000 0.000  -0.03
Mn 0.500 0.500 0.500  -0.05
Tc 0.000 0.500 0.000  -1.63
Co 0.000 0.000 0.000  -0.41

***

Below is a geometry-optimized MnCoTcP2 structure, with properties calculated at the GGA-PBE level.

Calculated values
Total DFT energy (no corrections) (eV for the cell shown): -33.55
ΔE_f (eV/atom): 0.782
Energy above the lowest structure with this stoichiometry (eV per formula unit): 0.000

a = 4.178 Å, b = 4.462 Å, c = 4.178 Å
α = 90.00°, β = 90.00°, γ = 90.00°
Site moments in Bohr magnetons follow the coordinates.
Positions (direct):
P 0.000 0.000 0.500  0.05
P 0.500 0.000 0.000  0.07
Tc 0.500 0.500 0.500  -1.56
Co 0.000 0.000 0.000  0.41
Mn 0.000 0.500 0.000  3.71

***

What is the formula in the third record? MnCoTcP2